No. 1
9
Lattice="2.988 0.000 0.000 -1.494 2.588 0.000 0.000 0.000 15.255" Properties=species:S:1:pos:R:3 comment="PBE TiAlO, optimized geometry" raw_formation_energy_ev_per_atom=-1.70 space_group="R3m (160)" pbc="T T T"
Ti 0.000 0.000 4.974
Ti 0.000 1.725 15.143
Ti 1.494 0.863 10.058
Al 0.000 0.000 12.128
Al 0.000 1.725 7.043
Al 1.494 0.863 1.958
O 0.000 0.000 13.960
O 0.000 1.725 8.875
O 1.494 0.863 3.790

=====

No. 2
16
Lattice="0.989 3.843 3.221 -2.306 -4.561 0.109 8.344 -4.161 2.403" Properties=species:S:1:pos:R:3 comment="PBE TiAl2O5, optimized geometry" raw_formation_energy_ev_per_atom=-2.99 space_group="Cmc2_1 (36)" pbc="T T T"
Ti 1.087 2.524 2.976
Ti 2.798 -5.836 1.852
Al 4.113 0.860 3.814
Al 6.656 -0.887 4.443
Al 0.438 -4.025 1.309
Al 5.925 -7.240 2.786
O 5.895 0.805 4.507
O 8.186 -0.186 5.199
O 2.303 0.709 3.066
O 4.798 -1.246 3.631
O 7.705 -2.586 4.492
O -0.576 -2.233 1.294
O 2.258 -3.756 2.087
O 4.806 -5.628 2.691
O -1.183 -4.529 0.560
O 1.008 -5.773 1.158

=====

No. 3
14
Lattice="-1.313 -1.012 -2.756 4.621 -2.722 0.675 -5.291 -7.660 5.334" Properties=species:S:1:pos:R:3 comment="PBE Ti4AlO2, optimized geometry" raw_formation_energy_ev_per_atom=-1.54 space_group="Cmcm (63)" pbc="T T T"
Ti 0.845 -2.961 -1.192
Ti -0.711 -5.214 0.377
Ti -2.828 -8.433 4.445
Ti -1.272 -6.180 2.876
Ti -1.382 -8.892 2.048
Ti -0.601 -2.503 1.206
Ti -0.657 -0.506 -1.378
Ti -3.302 -4.336 1.289
Al -3.759 -6.956 2.469
Al 1.776 -4.438 0.784
O -1.296 -4.212 2.164
O -2.699 -10.094 3.117
O 0.716 -1.300 0.137
O -0.687 -7.183 1.089

=====

No. 4
5
Lattice="-2.728 -0.957 -2.126 1.094 -3.415 0.134 -2.059 -0.546 2.888" Properties=species:S:1:pos:R:3 comment="PBE TiAlO3, optimized geometry" raw_formation_energy_ev_per_atom=-2.25 space_group="Pm-3m (221)" pbc="T T T"
Al 0.000 0.000 0.000
O 0.547 -1.707 0.067
O -1.029 -0.273 1.444
O -1.364 -0.479 -1.063
Ti -1.846 -2.459 0.448

=====

No. 5
12
Lattice="5.399 1.116 0.000 0.683 5.470 0.000 0.000 0.000 6.201" Properties=species:S:1:pos:R:3 comment="PBE TiAlO4, optimized geometry" raw_formation_energy_ev_per_atom=-2.48 space_group="Cmcm (63)" pbc="T T T"
Ti 2.738 2.966 4.651
Ti 3.343 3.621 1.550
Al 4.732 5.125 4.651
Al 1.350 1.462 1.550
O 5.028 2.845 1.550
O 1.054 3.742 4.651
O 2.436 5.238 1.550
O 3.646 1.348 4.651
O 3.851 4.171 3.421
O 2.231 2.416 0.320
O 3.851 4.171 5.881
O 2.231 2.416 2.780

=====

No. 6
3
Lattice="-0.591 -0.869 -2.776 2.692 -0.465 1.160 -1.555 -4.593 1.768" Properties=species:S:1:pos:R:3 comment="PBE TiAlO, optimized geometry" raw_formation_energy_ev_per_atom=-1.62 space_group="P3m1 (156)" pbc="T T T"
Ti -1.519 -4.486 1.727
Al -0.100 -2.518 -0.778
O -0.653 -4.150 -0.150

=====

No. 7
10
Lattice="-4.050 3.391 1.631 0.814 -0.944 -5.386 -0.641 -5.706 0.903" Properties=species:S:1:pos:R:3 comment="PBE Ti6AlO3, optimized geometry" raw_formation_energy_ev_per_atom=-1.50 space_group="R3 (146)" pbc="T T T"
Ti -1.513 -3.355 -1.142
Ti -0.141 -1.455 -3.558
Ti -3.381 1.434 1.142
Ti -0.871 -4.016 -3.782
Ti -3.450 -1.716 -0.039
Ti -1.747 -0.023 -1.210
Al -3.010 -2.197 -2.907
O -2.476 1.888 -0.705
O -0.808 0.500 -3.047
O -1.346 -1.649 0.086

=====

No. 8
6
Lattice="5.001 0.000 0.001 0.000 2.778 0.000 -0.499 0.000 5.208" Properties=species:S:1:pos:R:3 comment="PBE TiAlO, optimized geometry" raw_formation_energy_ev_per_atom=-1.56 space_group="Cm (8)" pbc="T T T"
Ti 4.595 0.000 3.431
Ti 4.844 1.389 0.827
Al 1.890 0.000 2.049
Al 1.640 1.389 4.653
O 3.058 0.000 4.980
O 3.308 1.389 2.376

=====

Which formula does entry 3 have?
Ti4AlO2